Record 1
VASP calculation (PBE) on crystalline TbInSe2 at its relaxed geometry.

abc: 4.1514 4.1514 23.5955
angles: 90.00 90.00 120.00
Space group R3m (No. 160, hexagonal axes)
Symmetry-distinct sites (fractional):
Tb: 0.0000 0.0000 0.0000 x3
In: 0.0000 0.0000 0.8308 x3
Se: 0.0000 0.0000 0.4028 x3
Se: 0.0000 0.0000 0.5982 x3

* raw formation energy: -5.14 eV/f.u.

Record 2
VASP calculation (PBE) on crystalline Rb2SiBr5 at its relaxed geometry.

abc: 7.910 7.910 9.754
angles: 90.00 90.00 90.00
Space group I4mm (No. 107)
Symmetry-distinct sites (fractional):
Rb: 0.000 0.500 0.000 x4
Si: 0.000 0.000 0.277 x2
Br: 0.000 0.000 0.514 x2
Br: 0.227 0.227 0.247 x8

* raw formation energy: -8.88 eV/f.u.
* DOS at the Fermi energy: 0.2584 states/eV per atom

Record 3
VASP calculation (PBE) on crystalline Rb4TlO3 at its relaxed geometry.

abc: 13.114 7.010 10.445
angles: 90.00 114.78 90.00
Space group Cc (No. 9)
Symmetry-distinct sites (fractional):
Rb: 0.000 0.154 0.000 x4
Rb: 0.092 0.332 0.689 x4
Rb: 0.193 0.207 0.399 x4
Rb: 0.281 0.339 0.095 x4
Tl: 0.375 0.169 0.773 x4
O: 0.033 0.491 0.413 x4
O: 0.212 0.000 0.170 x4
O: 0.319 0.432 0.854 x4

* raw formation energy: -7.67 eV/f.u.
* DOS at the Fermi energy: 0.3127 states/eV per atom

Record 4
VASP calculation (PBE) on crystalline LiHf2Ru2 at its relaxed geometry.

abc: 7.505 7.505 3.200
angles: 90.00 90.00 90.00
Space group P4/mbm (No. 127)
Symmetry-distinct sites (fractional):
Li: 0.000 0.000 0.000 x2
Hf: 0.154 0.346 0.500 x4
Ru: 0.142 0.642 0.000 x4

* relative energy among the computed polymorphs: 0.0 meV/atom
* ΔH_f (0 K): -0.33 eV/atom
* DOS at the Fermi energy: 0.8018 states/eV per atom

Record 5
VASP calculation (PBE) on crystalline Sm2ScAu2 at its relaxed geometry.

abc: 3.915 6.917 9.446
angles: 90.00 90.00 90.00
Space group Immm (No. 71)
Symmetry-distinct sites (fractional):
Sm: 0.000 0.000 0.203 x4
Sc: 0.000 0.500 0.000 x2
Au: 0.000 0.284 0.500 x4

* ΔH_f (0 K): -0.62 eV/atom
* DOS at the Fermi energy: 1.3367 states/eV per atom

Record 6
VASP calculation (PBE) on crystalline CaCu3Ni at its relaxed geometry.

abc: 4.777 4.777 4.777
angles: 90.00 90.00 90.00
Space group Pm-3m (No. 221)
Symmetry-distinct sites (fractional):
Ca: 0.000 0.000 0.000 x1
Cu: 0.000 0.000 0.500 x3
Ni: 0.500 0.500 0.500 x1

* relative energy among the computed polymorphs: 1709.3 meV/atom
* ΔH_f (0 K): 1.64 eV/atom
* DOS at the Fermi energy: 0.7878 states/eV per atom

Record 7
VASP calculation (PBE) on crystalline Pu6HPb2 at its relaxed geometry.

abc: 6.648 6.648 9.386
angles: 90.00 90.00 90.00
Space group P4_2/mnm (No. 136)
Symmetry-distinct sites (fractional):
Pu: 0.000 0.000 0.247 x4
Pu: 0.232 0.232 0.000 x4
Pu: 0.244 0.244 0.500 x4
H: 0.000 0.000 0.500 x2
Pb: 0.000 0.500 0.250 x4

* VASP energy: -194.03 eV for the cell shown
* DOS at the Fermi energy: 5.0013 states/eV per atom

Record 8
VASP calculation (PBE) on crystalline SbRuPtI2 at its relaxed geometry.

abc: 5.328 5.328 4.997
angles: 90.00 90.00 90.00
Space group P4/mmm (No. 123)
Symmetry-distinct sites (fractional):
Sb: 0.000 0.000 0.000 x1
Ru: 0.000 0.000 0.500 x1
Pt: 0.500 0.500 0.000 x1
I: 0.000 0.500 0.500 x2

* relative energy among the computed polymorphs: 0.0 meV/atom
* raw formation energy: 4.75 eV/f.u.
* DOS at the Fermi energy: 1.1273 states/eV per atom

Record 9
VASP calculation (PBE) on crystalline Y2Cr at its relaxed geometry.

abc: 12.387 3.662 8.398
angles: 90.00 122.60 90.00
Space group C2/m (No. 12)
Symmetry-distinct sites (fractional):
Y: 0.091 0.000 0.368 x4
Y: 0.158 0.500 0.062 x4
Cr: 0.126 0.500 0.676 x4

* ΔH_f (0 K): 0.30 eV/atom
* DOS at the Fermi energy: 1.1350 states/eV per atom

Record 10
VASP calculation (PBE) on crystalline Hf2Zn12Cu5 at its relaxed geometry.

abc: 8.6335 8.6335 12.8465
angles: 90.00 90.00 120.00
Space group R-3m (No. 166, hexagonal axes)
Symmetry-distinct sites (fractional):
Hf: 0.0000 0.0000 0.1718 x6
Zn: 0.0000 0.2968 0.5000 x18
Zn: 0.0029 0.5014 0.6495 x18
Cu: 0.0000 0.0000 0.3974 x6
Cu: 0.0000 0.5000 0.0000 x9

* ΔH_f (0 K): -0.11 eV/atom
* DOS at the Fermi energy: 0.4017 states/eV per atom

Record 11
VASP calculation (PBE) on crystalline Mg2CrPb at its relaxed geometry.

abc: 3.426 4.125 6.298
angles: 90.00 90.15 90.00
Space group P2/m (No. 10)
Symmetry-distinct sites (fractional):
Mg: 0.000 0.000 0.233 x2
Cr: 0.500 0.500 0.000 x1
Pb: 0.500 0.500 0.500 x1

* ΔH_f (0 K): 0.26 eV/atom
* DOS at the Fermi energy: 0.4936 states/eV per atom

Record 12
VASP calculation (PBE) on crystalline Nd3PtAu at its relaxed geometry.

abc: 7.540 4.734 15.790
angles: 90.00 90.00 90.00
Space group Pnma (No. 62)
Symmetry-distinct sites (fractional):
Nd: 0.013 0.250 0.105 x4
Nd: 0.131 0.750 0.444 x4
Nd: 0.182 0.250 0.725 x4
Pt: 0.232 0.750 0.045 x4
Au: 0.109 0.250 0.306 x4

* relative energy among the computed polymorphs: 0.0 meV/atom
* ΔH_f (0 K): -0.78 eV/atom
* DOS at the Fermi energy: 1.0124 states/eV per atom

Record 13
VASP calculation (PBE) on crystalline CaB2Br at its relaxed geometry.

abc: 6.577 6.577 6.577
angles: 90.00 90.00 90.00
Space group Fm-3m (No. 225)
Symmetry-distinct sites (fractional):
Ca: 0.000 0.000 0.000 x4
B: 0.250 0.250 0.250 x8
Br: 0.000 0.000 0.500 x4

* relative energy among the computed polymorphs: 206.6 meV/atom
* raw formation energy: 5.87 eV/f.u.
* DOS at the Fermi energy: 0.5124 states/eV per atom

Record 14
VASP calculation (PBE) on crystalline CrAgSnN2 at its relaxed geometry.

abc: 4.012 4.012 5.416
angles: 90.00 90.00 90.00
Space group P4/mmm (No. 123)
Symmetry-distinct sites (fractional):
Cr: 0.000 0.000 0.000 x1
Ag: 0.500 0.500 0.500 x1
Sn: 0.500 0.500 0.000 x1
N: 0.000 0.500 0.500 x2

* raw formation energy: 11.67 eV/f.u.
* DOS at the Fermi energy: 1.8628 states/eV per atom

Record 15
VASP calculation (PBE) on crystalline Ti8BiS2 at its relaxed geometry.

abc: 4.885 5.350 14.291
angles: 90.00 90.00 90.00
Space group Immm (No. 71)
Symmetry-distinct sites (fractional):
Ti: 0.000 0.000 0.103 x4
Ti: 0.000 0.254 0.405 x8
Ti: 0.000 0.500 0.229 x4
Bi: 0.000 0.500 0.000 x2
S: 0.000 0.000 0.266 x4

* raw formation energy: -4.77 eV/f.u.
* DOS at the Fermi energy: 0.7411 states/eV per atom

Record 16
VASP calculation (PBE) on crystalline Cs2Cd6AgAu at its relaxed geometry.

abc: 11.022 11.011 7.775
angles: 90.00 134.78 90.00
Space group C2/m (No. 12)
Symmetry-distinct sites (fractional):
Cs: 0.000 0.250 0.000 x4
Cd: 0.000 0.250 0.500 x4
Cd: 0.250 0.000 0.000 x4
Cd: 0.250 0.000 0.500 x4
Ag: 0.000 0.000 0.500 x2
Au: 0.000 0.500 0.500 x2

* ΔH_f (0 K): -0.05 eV/atom
* DOS at the Fermi energy: 0.4402 states/eV per atom

Record 17
VASP calculation (PBE) on crystalline VSi3Se at its relaxed geometry.

abc: 4.688 4.688 4.688
angles: 90.00 90.00 90.00
Space group Pm-3m (No. 221)
Symmetry-distinct sites (fractional):
V: 0.000 0.000 0.000 x1
Si: 0.000 0.000 0.500 x3
Se: 0.500 0.500 0.500 x1

* relative energy among the computed polymorphs: 0.0 meV/atom
* raw formation energy: 3.20 eV/f.u.
* DOS at the Fermi energy: 0.9470 states/eV per atom

Record 18
VASP calculation (PBE) on crystalline Na4Tl2SnAs2 at its relaxed geometry.

abc: 13.752 8.849 4.409
angles: 90.00 107.49 90.00
Space group C2/m (No. 12)
Symmetry-distinct sites (fractional):
Na: 0.143 0.203 0.145 x8
Tl: 0.124 0.500 0.636 x4
Sn: 0.000 0.000 0.500 x2
As: 0.228 0.000 0.724 x4

* ΔH_f (0 K): -0.20 eV/atom
* DOS at the Fermi energy: 0.4330 states/eV per atom

Record 19
VASP calculation (PBE) on crystalline Li3YH at its relaxed geometry.

abc: 4.529 4.529 4.529
angles: 90.00 90.00 90.00
Space group Pm-3m (No. 221)
Symmetry-distinct sites (fractional):
Li: 0.000 0.000 0.500 x3
Y: 0.500 0.500 0.500 x1
H: 0.000 0.000 0.000 x1

* VASP energy: -14.29 eV for the cell shown
* DOS at the Fermi energy: 0.9539 states/eV per atom

Record 20
VASP calculation (PBE) on crystalline Na2YZnRh at its relaxed geometry.

abc: 4.891 4.891 4.951
angles: 90.00 90.00 90.00
Space group P4/mmm (No. 123)
Symmetry-distinct sites (fractional):
Na: 0.000 0.500 0.000 x2
Y: 0.000 0.000 0.500 x1
Zn: 0.500 0.500 0.000 x1
Rh: 0.500 0.500 0.500 x1

* ΔH_f (0 K): 0.35 eV/atom
* DOS at the Fermi energy: 0.6104 states/eV per atom

Record 21
VASP calculation (PBE) on crystalline ZrSb2Os at its relaxed geometry.

abc: 3.195 3.535 7.064
angles: 90.00 90.00 90.00
Space group Pmmm (No. 47)
Symmetry-distinct sites (fractional):
Zr: 0.000 0.000 0.000 x1
Sb: 0.500 0.500 0.274 x2
Os: 0.000 0.000 0.500 x1

* relative energy among the computed polymorphs: 328.3 meV/atom
* raw formation energy: 0.52 eV/f.u.
* DOS at the Fermi energy: 0.9936 states/eV per atom

Record 22
VASP calculation (PBE) on crystalline AcDyAlTl at its relaxed geometry.

abc: 7.786 7.786 7.786
angles: 90.00 90.00 90.00
Space group F-43m (No. 216)
Symmetry-distinct sites (fractional):
Ac: 0.000 0.000 0.000 x4
Dy: 0.000 0.000 0.500 x4
Al: 0.250 0.250 0.250 x4
Tl: 0.250 0.250 0.750 x4

* ΔH_f (0 K): -0.27 eV/atom
* DOS at the Fermi energy: 0.4228 states/eV per atom

Record 23
VASP calculation (PBE) on crystalline BaMgV2B at its relaxed geometry.

abc: 4.405 4.405 5.555
angles: 90.00 90.00 90.00
Space group P4/mmm (No. 123)
Symmetry-distinct sites (fractional):
Ba: 0.000 0.000 0.000 x1
Mg: 0.500 0.500 0.000 x1
V: 0.000 0.500 0.500 x2
B: 0.000 0.000 0.500 x1

* ΔH_f (0 K): 0.81 eV/atom
* DOS at the Fermi energy: 0.8279 states/eV per atom

Record 24
VASP calculation (PBE) on crystalline Tb5NdEr6 at its relaxed geometry.

abc: 6.141 10.627 11.712
angles: 90.00 100.02 90.00
Space group C2/m (No. 12)
Symmetry-distinct sites (fractional):
Tb: 0.000 0.000 0.000 x2
Tb: 0.000 0.167 0.500 x4
Tb: 0.000 0.333 0.000 x4
Nd: 0.000 0.500 0.500 x2
Er: 0.249 0.167 0.249 x8
Er: 0.250 0.000 0.751 x4

* relative energy among the computed polymorphs: 0.0 meV/atom
* ΔH_f (0 K): 0.02 eV/atom
* DOS at the Fermi energy: 1.2782 states/eV per atom